DFT (GGA-PBE) results for a relaxed TlNi3W crystal.

Output
Crystal system = cubic
ΔE_f = 1.2448 eV per atom
Space group = Pm-3m
Spin magnetization = 0.000 μB per atom

Cell: 4.6083 4.6083 4.6083 Å, 90.00 90.00 90.00°
Last column: nearest neighbours and their distance in Å.
Fractional positions:
Ni 0.0000 0.5000 0.0000  2 W 2.30
Ni 0.0000 0.0000 0.5000  2 W 2.30
Ni 0.5000 0.0000 0.0000  2 W 2.30
Tl 0.5000 0.5000 0.5000  12 Ni 3.26
W 0.0000 0.0000 0.0000  6 Ni 2.30

DFT (GGA-PBE) results for a relaxed TlNi2W crystal.

Output
Crystal system = tetragonal
ΔE_f = 0.8271 eV per atom
Space group = I-42d
Spin magnetization = 0.000 μB per atom

Cell: 6.9233 6.9233 5.6297 Å, 52.06 52.06 90.00°
Last column: nearest neighbours and their distance in Å.
Fractional positions:
Ni 0.5972 0.1250 0.2500  2 W 2.42, 2 Tl 2.68
Ni 0.1528 0.6250 0.2500  2 W 2.42, 2 Tl 2.68
Ni 0.3750 0.4028 0.7500  2 W 2.42, 2 Tl 2.68
Ni 0.8750 0.8472 0.7500  2 W 2.42, 2 Tl 2.68
Tl 0.0000 0.0000 0.0000  4 Ni 2.68, 2 W 2.78
Tl 0.7500 0.2500 0.5000  4 Ni 2.68, 2 W 2.78
W 0.5000 0.5000 0.0000  4 Ni 2.42
W 0.2500 0.7500 0.5000  4 Ni 2.42

DFT (GGA-PBE) results for a relaxed TlNi2W crystal.

Output
Crystal system = tetragonal
ΔE_f = 0.6323 eV per atom
Space group = I-4m2
Spin magnetization = 0.003 μB per atom

Cell: 4.8252 4.8252 4.8252 Å, 132.43 132.43 69.55°
Last column: nearest neighbours and their distance in Å.
Fractional positions:
Ni 0.0000 0.0000 0.0000  4 Tl 2.75, 4 Ni 2.78, 4 W 2.78
Ni 0.2500 0.7500 0.5000  4 W 2.75, 4 Tl 2.78, 4 Ni 2.78
Tl 0.5000 0.5000 0.0000  8 Ni 2.75-2.78, 4 W 2.78
W 0.7500 0.2500 0.5000  8 Ni 2.75-2.78, 4 Tl 2.78

DFT (GGA-PBE) results for a relaxed TlNi4W crystal.

Output
Crystal system = cubic
ΔE_f = 0.2868 eV per atom
Space group = F-43m
Spin magnetization = 0.068 μB per atom

Cell: 4.8260 4.8260 4.8260 Å, 60.00 60.00 60.00°
Last column: nearest neighbours and their distance in Å.
Fractional positions:
Tl 0.7500 0.7500 0.7500  12 Ni 2.83, 4 W 2.96
Ni 0.8786 0.3738 0.3738  6 Ni 2.39-2.44
Ni 0.3738 0.3738 0.8786  6 Ni 2.39-2.44
Ni 0.3738 0.8786 0.3738  6 Ni 2.39-2.44
Ni 0.3738 0.3738 0.3738  6 Ni 2.39-2.44
W 0.0000 0.0000 0.0000  12 Ni 2.83, 4 Tl 2.96

DFT (GGA-PBE) results for a relaxed YTlNi crystal.

Output
Crystal system = orthorhombic
ΔE_f = -0.3614 eV per atom
Space group = Cmcm
Spin magnetization = 0.000 μB per atom

Cell: 4.1940 3.7049 8.7543 Å, 102.22 90.00 90.00°
Last column: nearest neighbours and their distance in Å.
Fractional positions:
Y 0.2500 0.9131 0.8262  6 Ni 2.86-2.91
Y 0.7500 0.0869 0.1738  6 Ni 2.86-2.91
Tl 0.7500 0.2974 0.5949  1 Ni 2.77
Tl 0.2500 0.7026 0.4051  1 Ni 2.77
Ni 0.2500 0.5405 0.0810  2 Ni 2.51, 1 Tl 2.77
Ni 0.7500 0.4595 0.9190  2 Ni 2.51, 1 Tl 2.77

DFT (GGA-PBE) results for a relaxed Y4TlNi crystal.

Output
Crystal system = monoclinic
ΔE_f = -0.2612 eV per atom
Space group = C2/c
Spin magnetization = 0.000 μB per atom

Cell: 6.2253 9.2067 7.6735 Å, 115.88 99.44 113.75°
Last column: nearest neighbours and their distance in Å.
Fractional positions:
Y 0.1018 0.1999 0.8256  2 Ni 3.02-3.14, 2 Tl 3.23-3.28
Y 0.7711 0.7279 0.6726  2 Ni 2.73-2.75
Y 0.2238 0.6257 0.8256  2 Ni 3.02-3.14, 2 Tl 3.23-3.28
Y 0.4016 0.9447 0.6726  2 Ni 2.73-2.75
Y 0.5984 0.0553 0.3274  2 Ni 2.73-2.75
Y 0.7762 0.3743 0.1744  2 Ni 3.02-3.14, 2 Tl 3.23-3.28
Y 0.2289 0.2721 0.3274  2 Ni 2.73-2.75
Y 0.8982 0.8001 0.1744  2 Ni 3.02-3.14, 2 Tl 3.23-3.28
Tl 0.3735 0.6235 0.2470  8 Y 3.23-3.35
Tl 0.6265 0.3765 0.7530  8 Y 3.23-3.35
Ni 0.2488 0.9988 0.9976  6 Y 2.73-3.02
Ni 0.7512 0.0012 0.0024  6 Y 2.73-3.02

| no. | calculated density (Mg/m³) |
| --- | --- |
| 1 | 9.6 |
| 2 | 12.6 |
| 3 | 14.0 |
| 4 | 13.0 |
| 5 | 8.8 |
| 6 | 6.2 |